# 1
Below is a geometry-optimized InGe2Br6 structure, with properties calculated at the PBE level.

Unit cell a=14.527 b=13.048 c=9.759 alpha=90.00 beta=117.59 gamma=90.00
Space group C2/c (No. 15)
Symmetry-distinct sites (fractional):
In: 0.000 0.088 0.250 x4
Ge: 0.181 0.431 0.231 x8
Br: 0.128 0.086 0.639 x8
Br: 0.134 0.249 0.177 x8
Br: 0.146 0.491 0.462 x8

Properties
formation energy from raw total energies = -0.53 eV/atom
ρ = 3.00 g cm⁻³

---

# 2
Below is a geometry-optimized Tb5HoRu6 structure, with properties calculated at the PBE level.

Unit cell a=8.336 b=14.422 c=4.833 alpha=90.00 beta=125.31 gamma=90.00
Space group C2/m (No. 12)
Symmetry-distinct sites (fractional):
Tb: 0.000 0.000 0.000 x2
Tb: 0.000 0.167 0.500 x4
Tb: 0.000 0.334 0.000 x4
Ho: 0.000 0.500 0.500 x2
Ru: 0.249 0.500 0.249 x4
Ru: 0.250 0.166 0.250 x8

Properties
ρ = 10.97 g cm⁻³
calculated formation energy = -28.9 kJ per mole of atoms

---

# 3
Below is a geometry-optimized PaClO2 structure, with properties calculated at the PBE level.

Unit cell a=5.520 b=10.240 c=3.423 alpha=90.00 beta=90.00 gamma=90.00
Space group Cmmm (No. 65)
Symmetry-distinct sites (fractional):
Pa: 0.000 0.000 0.000 x2
Cl: 0.000 0.500 0.000 x2
O: 0.000 0.122 0.500 x4

Properties
formation energy from raw total energies = -2.93 eV/atom
ρ = 5.12 g cm⁻³

---

# 4
Below is a geometry-optimized Li2TeMo structure, with properties calculated at the PBE level.

Unit cell a=5.270 b=9.621 c=3.006 alpha=90.00 beta=108.99 gamma=90.00
Space group C2/m (No. 12)
Symmetry-distinct sites (fractional):
Li: 0.250 0.250 0.000 x4
Te: 0.000 0.000 0.500 x2
Mo: 0.000 0.500 0.500 x2

Properties
formation energy from raw total energies = 0.23 eV/atom
ρ = 5.47 g cm⁻³

---

# 5
Below is a geometry-optimized YRhBr2 structure, with properties calculated at the PBE level.

Unit cell a=3.621 b=4.208 c=13.914 alpha=90.00 beta=90.00 gamma=90.00
Space group Imm2 (No. 44)
Symmetry-distinct sites (fractional):
Y: 0.000 0.000 0.000 x2
Rh: 0.000 0.500 0.360 x2
Br: 0.000 0.000 0.604 x2
Br: 0.000 0.500 0.854 x2

Properties
formation energy from raw total energies = -0.82 eV/atom
ρ = 5.51 g cm⁻³

---

# 6
Below is a geometry-optimized Mn3Cr structure, with properties calculated at the PBE level.

Unit cell a=2.4894 b=2.4894 c=8.2504 alpha=90.00 beta=90.00 gamma=120.00
Space group P-6m2 (No. 187)
Symmetry-distinct sites (fractional):
Mn: 0.0000 0.0000 0.0000 x1
Mn: 0.3333 0.6667 0.2424 x2
Cr: 0.0000 0.0000 0.5000 x1

Properties
ρ = 8.13 g cm⁻³
calculated formation energy = 14.6 kJ per mole of atoms

---

# 7
Below is a geometry-optimized Pm2CN2O2 structure, with properties calculated at the PBE level.

Unit cell a=3.8809 b=3.8809 c=8.3343 alpha=90.00 beta=90.00 gamma=120.00
Space group P-3m1 (No. 164)
Symmetry-distinct sites (fractional):
Pm: 0.3333 0.6667 0.3204 x2
C: 0.0000 0.0000 0.0000 x1
N: 0.0000 0.0000 0.1484 x2
O: 0.3333 0.6667 0.6033 x2

Properties
formation energy from raw total energies = -2.11 eV/atom
ρ = 5.53 g cm⁻³

---

# 8
Below is a geometry-optimized Dy2ThF11 structure, with properties calculated at the PBE level.

Unit cell a=8.371 b=10.340 c=11.394 alpha=90.00 beta=90.00 gamma=90.00
Space group Ibam (No. 72)
Symmetry-distinct sites (fractional):
Dy: 0.158 0.190 0.000 x8
Th: 0.000 0.500 0.250 x4
F: 0.000 0.000 0.000 x4
F: 0.101 0.328 0.140 x16
F: 0.111 0.192 0.500 x8
F: 0.209 0.421 0.368 x16

Properties
formation energy from raw total energies = -3.82 eV/atom
ρ = 5.16 g cm⁻³

---

# 9
Below is a geometry-optimized NdPaRu2 structure, with properties calculated at the PBE level.

Unit cell a=6.005 b=5.672 c=11.080 alpha=90.00 beta=105.21 gamma=90.00
Space group P2/c (No. 13)
Symmetry-distinct sites (fractional):
Nd: 0.190 0.184 0.143 x4
Pa: 0.368 0.324 0.870 x4
Ru: 0.138 0.318 0.656 x4
Ru: 0.346 0.196 0.449 x4

Properties
ρ = 10.53 g cm⁻³
calculated formation energy = -36.9 kJ per mole of atoms

---

# 10
Below is a geometry-optimized NpTl3Ga2O9 structure, with properties calculated at the PBE level.

Unit cell a=5.7054 b=5.7054 c=7.0964 alpha=90.00 beta=90.00 gamma=120.00
Space group P-3m1 (No. 164)
Symmetry-distinct sites (fractional):
Np: 0.0000 0.0000 0.0000 x1
Tl: 0.0000 0.0000 0.5000 x1
Tl: 0.3333 0.6667 0.2182 x2
Ga: 0.3333 0.6667 0.6581 x2
O: 0.0000 0.5000 0.5000 x3
O: 0.1678 0.3356 0.8320 x6

Properties
formation energy from raw total energies = -1.45 eV/atom
ρ = 9.41 g cm⁻³

---

# 11
Below is a geometry-optimized Ca2BMoC structure, with properties calculated at the PBE level.

Unit cell a=5.571 b=5.571 c=3.923 alpha=90.00 beta=90.00 gamma=90.00
Space group P4/mmm (No. 123)
Symmetry-distinct sites (fractional):
Ca: 0.000 0.500 0.000 x2
B: 0.000 0.000 0.500 x1
Mo: 0.500 0.500 0.000 x1
C: 0.500 0.500 0.500 x1

Properties
ρ = 2.71 g cm⁻³
calculated formation energy = 152.6 kJ per mole of atoms

---

# 12
Below is a geometry-optimized ScZn2Ru structure, with properties calculated at the PBE level.

Unit cell a=6.290 b=6.290 c=6.290 alpha=90.00 beta=90.00 gamma=90.00
Space group Fm-3m (No. 225)
Symmetry-distinct sites (fractional):
Sc: 0.000 0.000 0.000 x4
Zn: 0.250 0.250 0.250 x8
Ru: 0.000 0.000 0.500 x4

Properties
ρ = 7.39 g cm⁻³
calculated formation energy = -24.1 kJ per mole of atoms

---

Which of these has the lowest ρ? Ca2BMoC